Entry 1:
! Ba2FeI, optimized geometry, DFT PBE; values from VASP
! Raw formation energy, eV/atom: 0.029
! Offset from the most stable computed form, eV/f.u.: 0.11
&SYSTEM
  ibrav = 0, nat = 8, ntyp = 3
/
ATOMIC_SPECIES
Ba 137.33 Ba.upf
Fe 55.84 Fe.upf
I 126.90 I.upf
ATOMIC_POSITIONS crystal
Ba 0.086 0.625 0.961
Ba 0.375 0.336 0.461
Ba 0.664 0.125 0.039
Ba 0.875 0.914 0.539
Fe 0.000 0.000 0.000
Fe 0.750 0.250 0.500
I 0.250 0.750 0.500
I 0.500 0.500 0.000
CELL_PARAMETERS angstrom
-4.390 4.390 4.452
4.390 -4.390 4.452
4.390 4.390 -4.452



Entry 2:
! BaFe3I, optimized geometry, DFT PBE; values from VASP
! Raw formation energy, eV/atom: 1.111
! Offset from the most stable computed form, eV/f.u.: 0.00
&SYSTEM
  ibrav = 0, nat = 5, ntyp = 3
/
ATOMIC_SPECIES
Ba 137.33 Ba.upf
Fe 55.84 Fe.upf
I 126.90 I.upf
ATOMIC_POSITIONS crystal
Ba 0.000 0.000 0.000
Fe 0.000 0.500 0.500
Fe 0.500 0.000 0.500
Fe 0.500 0.500 0.000
I 0.500 0.500 0.500
CELL_PARAMETERS angstrom
4.870 0.000 0.000
0.000 4.870 0.000
0.000 0.000 4.870



Entry 3:
! BaFe2I6, optimized geometry, DFT PBE; values from VASP
! Raw formation energy, eV/atom: -0.613
&SYSTEM
  ibrav = 0, nat = 18, ntyp = 3
/
ATOMIC_SPECIES
Ba 137.33 Ba.upf
Fe 55.84 Fe.upf
I 126.90 I.upf
ATOMIC_POSITIONS crystal
Ba 0.130 0.870 0.750
Ba 0.870 0.130 0.250
Fe 0.231 0.374 0.730
Fe 0.374 0.231 0.230
Fe 0.626 0.769 0.770
Fe 0.769 0.626 0.270
I 0.048 0.198 0.673
I 0.149 0.585 0.910
I 0.198 0.048 0.173
I 0.281 0.430 0.433
I 0.415 0.851 0.590
I 0.430 0.281 0.933
I 0.570 0.719 0.067
I 0.585 0.149 0.410
I 0.719 0.570 0.567
I 0.802 0.952 0.827
I 0.851 0.415 0.090
I 0.952 0.802 0.327
CELL_PARAMETERS angstrom
7.641 -7.204 0.000
7.641 7.204 0.000
-1.836 0.000 7.586



Entry 4:
! BaFe3I12, optimized geometry, DFT PBE; values from VASP
! Raw formation energy, eV/atom: -0.434
&SYSTEM
  ibrav = 0, nat = 32, ntyp = 3
/
ATOMIC_SPECIES
Ba 137.33 Ba.upf
Fe 55.84 Fe.upf
I 126.90 I.upf
ATOMIC_POSITIONS crystal
Ba 0.000 0.000 0.000
Ba 0.500 0.500 0.500
Fe 0.155 0.791 0.399
Fe 0.291 0.655 0.899
Fe 0.399 0.155 0.791
Fe 0.655 0.899 0.291
Fe 0.791 0.399 0.155
Fe 0.899 0.291 0.655
I 0.049 0.055 0.698
I 0.055 0.698 0.049
I 0.188 0.817 0.191
I 0.191 0.188 0.817
I 0.198 0.555 0.549
I 0.317 0.688 0.691
I 0.325 0.842 0.348
I 0.342 0.825 0.848
I 0.348 0.325 0.842
I 0.433 0.437 0.998
I 0.437 0.998 0.433
I 0.498 0.937 0.933
I 0.549 0.198 0.555
I 0.555 0.549 0.198
I 0.688 0.691 0.317
I 0.691 0.317 0.688
I 0.698 0.049 0.055
I 0.817 0.191 0.188
I 0.825 0.848 0.342
I 0.842 0.348 0.325
I 0.848 0.342 0.825
I 0.933 0.498 0.937
I 0.937 0.933 0.498
I 0.998 0.433 0.437
CELL_PARAMETERS angstrom
6.272 3.621 12.699
-6.272 3.621 12.699
0.000 -7.243 12.699



Entry 5:
! BaFe3I, optimized geometry, DFT PBE; values from VASP
! Raw formation energy, eV/atom: 2.124
! Offset from the most stable computed form, eV/f.u.: 5.06
&SYSTEM
  ibrav = 0, nat = 5, ntyp = 3
/
ATOMIC_SPECIES
Ba 137.33 Ba.upf
Fe 55.84 Fe.upf
I 126.90 I.upf
ATOMIC_POSITIONS crystal
Ba 0.000 0.000 0.000
Fe 0.000 0.000 0.500
Fe 0.000 0.500 0.000
Fe 0.500 0.000 0.000
I 0.500 0.500 0.500
CELL_PARAMETERS angstrom
5.489 0.000 0.000
0.000 5.489 0.000
0.000 0.000 5.489



Entry 6:
! BaFe3I9, optimized geometry, DFT PBE; values from VASP
! Raw formation energy, eV/atom: -0.480
&SYSTEM
  ibrav = 0, nat = 26, ntyp = 3
/
ATOMIC_SPECIES
Ba 137.33 Ba.upf
Fe 55.84 Fe.upf
I 126.90 I.upf
ATOMIC_POSITIONS crystal
Ba 0.227 0.773 0.500
Ba 0.773 0.227 0.000
Fe 0.058 0.277 0.853
Fe 0.277 0.058 0.353
Fe 0.279 0.454 0.690
Fe 0.454 0.279 0.190
Fe 0.649 0.846 0.228
Fe 0.846 0.649 0.728
I 0.107 0.248 0.250
I 0.117 0.963 0.338
I 0.191 0.446 0.070
I 0.248 0.107 0.750
I 0.296 0.675 0.707
I 0.394 0.457 0.897
I 0.446 0.191 0.570
I 0.457 0.394 0.397
I 0.468 0.999 0.085
I 0.473 0.810 0.254
I 0.581 0.798 0.609
I 0.675 0.296 0.207
I 0.798 0.581 0.109
I 0.810 0.473 0.754
I 0.830 0.966 0.433
I 0.963 0.117 0.838
I 0.966 0.830 0.933
I 0.999 0.468 0.585
CELL_PARAMETERS angstrom
10.584 -5.286 0.000
10.584 5.286 0.000
-10.293 0.000 11.295



Entry 7:
! BaFe2I, optimized geometry, DFT PBE; values from VASP
! Raw formation energy, eV/atom: 0.932
! Offset from the most stable computed form, eV/f.u.: 1.76
&SYSTEM
  ibrav = 0, nat = 4, ntyp = 3
/
ATOMIC_SPECIES
Ba 137.33 Ba.upf
Fe 55.84 Fe.upf
I 126.90 I.upf
ATOMIC_POSITIONS crystal
Ba 0.000 0.000 0.000
Fe 0.250 0.250 0.250
Fe 0.750 0.750 0.750
I 0.500 0.500 0.500
CELL_PARAMETERS angstrom
0.000 3.611 3.611
3.611 0.000 3.611
3.611 3.611 0.000



Entry 8:
! Ba2FeI, optimized geometry, DFT PBE; values from VASP
! Raw formation energy, eV/atom: 0.002
! Offset from the most stable computed form, eV/f.u.: 0.00
&SYSTEM
  ibrav = 0, nat = 4, ntyp = 3
/
ATOMIC_SPECIES
Ba 137.33 Ba.upf
Fe 55.84 Fe.upf
I 126.90 I.upf
ATOMIC_POSITIONS crystal
Ba 0.250 0.250 0.250
Ba 0.750 0.750 0.750
Fe 0.000 0.000 0.000
I 0.500 0.500 0.500
CELL_PARAMETERS angstrom
0.000 4.198 4.198
4.198 0.000 4.198
4.198 4.198 0.000



Entry 9:
! BaFe2I, optimized geometry, DFT PBE; values from VASP
! Raw formation energy, eV/atom: 0.492
! Offset from the most stable computed form, eV/f.u.: 0.00
&SYSTEM
  ibrav = 0, nat = 8, ntyp = 3
/
ATOMIC_SPECIES
Ba 137.33 Ba.upf
Fe 55.84 Fe.upf
I 126.90 I.upf
ATOMIC_POSITIONS crystal
Ba 0.375 0.625 0.750
Ba 0.625 0.375 0.250
Fe 0.000 0.000 0.000
Fe 0.000 0.000 0.500
Fe 0.000 0.500 0.000
Fe 0.500 0.000 0.500
I 0.125 0.875 0.250
I 0.875 0.125 0.750
CELL_PARAMETERS angstrom
-2.444 2.444 9.625
2.444 -2.444 9.625
2.444 2.444 -9.625



Entry 10:
! KBaFe2I8, optimized geometry, DFT PBE; values from VASP
! Raw formation energy, eV/atom: -0.740
&SYSTEM
  ibrav = 0, nat = 12, ntyp = 4
/
ATOMIC_SPECIES
K 39.10 K.upf
Ba 137.33 Ba.upf
Fe 55.84 Fe.upf
I 126.90 I.upf
ATOMIC_POSITIONS crystal
K 0.000 0.000 0.000
Ba 0.000 0.000 0.500
Fe 0.333 0.667 0.341
Fe 0.667 0.333 0.659
I 0.160 0.334 0.253
I 0.173 0.840 0.253
I 0.333 0.667 0.583
I 0.334 0.173 0.747
I 0.666 0.827 0.253
I 0.667 0.333 0.417
I 0.827 0.160 0.747
I 0.840 0.666 0.747
CELL_PARAMETERS angstrom
8.496 0.000 0.000
-4.248 7.358 0.000
0.000 0.000 10.422



Entry 11:
! BaLiFe2I8, optimized geometry, DFT PBE; values from VASP
! Raw formation energy, eV/atom: -0.673
&SYSTEM
  ibrav = 0, nat = 12, ntyp = 4
/
ATOMIC_SPECIES
Ba 137.33 Ba.upf
Li 6.94 Li.upf
Fe 55.84 Fe.upf
I 126.90 I.upf
ATOMIC_POSITIONS crystal
Ba 0.000 0.000 0.000
Li 0.000 0.000 0.500
Fe 0.333 0.667 0.753
Fe 0.667 0.333 0.247
I 0.009 0.315 0.688
I 0.306 0.991 0.688
I 0.315 0.306 0.312
I 0.333 0.667 0.008
I 0.667 0.333 0.992
I 0.685 0.694 0.688
I 0.694 0.009 0.312
I 0.991 0.685 0.312
CELL_PARAMETERS angstrom
7.378 0.000 0.000
-3.689 6.389 0.000
0.000 0.000 10.101



Entry 12:
! BaNaFe2I8, optimized geometry, DFT PBE; values from VASP
! Raw formation energy, eV/atom: -0.682
&SYSTEM
  ibrav = 0, nat = 12, ntyp = 4
/
ATOMIC_SPECIES
Ba 137.33 Ba.upf
Na 22.99 Na.upf
Fe 55.84 Fe.upf
I 126.90 I.upf
ATOMIC_POSITIONS crystal
Ba 0.000 0.000 0.000
Na 0.000 0.000 0.500
Fe 0.333 0.667 0.771
Fe 0.667 0.333 0.229
I 0.016 0.319 0.708
I 0.303 0.984 0.708
I 0.319 0.303 0.292
I 0.333 0.667 0.011
I 0.667 0.333 0.989
I 0.681 0.697 0.708
I 0.697 0.016 0.292
I 0.984 0.681 0.292
CELL_PARAMETERS angstrom
7.480 0.000 0.000
-3.740 6.477 0.000
0.000 0.000 10.687